No. 1
# Ba2AgPt | Alexandria | GGA-PBE | relaxed
# E_form: -9.240 kcal/mol of atoms
data_Ba2AgPt
_cell_length_a 4.701
_cell_length_b 4.701
_cell_length_c 6.593
_cell_angle_alpha 90.00
_cell_angle_beta 90.00
_cell_angle_gamma 90.00
_space_group_name_H-M_alt 'P 1'
_space_group_IT_number 1
loop_
_space_group_symop_operation_xyz
'x,y,z'
loop_
_atom_site_label
_atom_site_fract_x
_atom_site_fract_y
_atom_site_fract_z
Ba1 0.000 0.000 0.000
Ba2 0.500 0.500 0.499
Ag1 0.500 0.500 0.999
Pt1 0.000 0.000 0.500

---

No. 2
# SiBiP2 | Alexandria | GGA-PBE | relaxed
# energy above the most stable polymorph in this dataset: 0 kJ/mol of formula units
# ΔE_f (raw): 0.15 eV/atom
data_SiBiP2
_cell_length_a 6.342
_cell_length_b 6.342
_cell_length_c 6.342
_cell_angle_alpha 118.27
_cell_angle_beta 118.27
_cell_angle_gamma 93.02
_space_group_name_H-M_alt 'P 1'
_space_group_IT_number 1
loop_
_space_group_symop_operation_xyz
'x,y,z'
loop_
_atom_site_label
_atom_site_fract_x
_atom_site_fract_y
_atom_site_fract_z
Si1 0.000 0.000 0.000
Si2 0.750 0.250 0.500
Bi1 0.250 0.750 0.500
Bi2 0.500 0.500 0.000
P1 0.051 0.625 0.926
P2 0.375 0.301 0.426
P3 0.699 0.125 0.074
P4 0.875 0.949 0.574

---

No. 3
# La2ErPuP4 | Alexandria | GGA-PBE | relaxed
# E_form: -33.381 kcal/mol of atoms
data_La2ErPuP4
_cell_length_a 7.125
_cell_length_b 4.131
_cell_length_c 7.150
_cell_angle_alpha 90.00
_cell_angle_beta 109.46
_cell_angle_gamma 90.00
_space_group_name_H-M_alt 'P 1'
_space_group_IT_number 1
loop_
_space_group_symop_operation_xyz
'x,y,z'
loop_
_atom_site_label
_atom_site_fract_x
_atom_site_fract_y
_atom_site_fract_z
La1 0.000 0.000 0.000
La2 0.500 0.500 0.000
Er1 0.000 0.500 0.500
Pu1 0.500 0.000 0.500
P1 0.245 0.000 0.732
P2 0.258 0.500 0.270
P3 0.742 0.500 0.730
P4 0.755 0.000 0.268

---

No. 4
# PrDy2ErAs4 | Alexandria | GGA-PBE | relaxed
# E_form: -34.812 kcal/mol of atoms
data_PrDy2ErAs4
_cell_length_a 7.202
_cell_length_b 4.162
_cell_length_c 7.203
_cell_angle_alpha 90.00
_cell_angle_beta 109.47
_cell_angle_gamma 90.00
_space_group_name_H-M_alt 'P 1'
_space_group_IT_number 1
loop_
_space_group_symop_operation_xyz
'x,y,z'
loop_
_atom_site_label
_atom_site_fract_x
_atom_site_fract_y
_atom_site_fract_z
Pr1 0.000 0.000 0.000
Dy1 0.000 0.500 0.500
Dy2 0.500 0.000 0.500
Er1 0.500 0.500 0.000
As1 0.255 0.000 0.748
As2 0.259 0.500 0.257
As3 0.741 0.500 0.743
As4 0.745 0.000 0.252

---

No. 5
# Cs2HfMgC | Alexandria | GGA-PBE | relaxed
# E_form: 19.792 kcal/mol of atoms
data_Cs2HfMgC
_cell_length_a 7.216
_cell_length_b 7.216
_cell_length_c 4.225
_cell_angle_alpha 90.00
_cell_angle_beta 90.00
_cell_angle_gamma 90.00
_space_group_name_H-M_alt 'P 1'
_space_group_IT_number 1
loop_
_space_group_symop_operation_xyz
'x,y,z'
loop_
_atom_site_label
_atom_site_fract_x
_atom_site_fract_y
_atom_site_fract_z
Cs1 0.000 0.500 0.000
Cs2 0.500 0.000 0.000
Hf1 0.000 0.000 0.500
Mg1 0.500 0.500 0.500
C1 0.000 0.000 0.000

---

No. 6
# PmDyBiSe | Alexandria | GGA-PBE | relaxed
# ΔE_f (raw): -1.22 eV/atom
data_PmDyBiSe
_cell_length_a 7.994
_cell_length_b 7.994
_cell_length_c 7.994
_cell_angle_alpha 30.67
_cell_angle_beta 30.67
_cell_angle_gamma 30.67
_space_group_name_H-M_alt 'P 1'
_space_group_IT_number 1
loop_
_space_group_symop_operation_xyz
'x,y,z'
loop_
_atom_site_label
_atom_site_fract_x
_atom_site_fract_y
_atom_site_fract_z
Pm1 0.000 0.000 0.000
Dy1 0.163 0.163 0.163
Bi1 0.578 0.578 0.578
Se1 0.753 0.753 0.753

---

No. 7
# Pm2PaCu | Alexandria | GGA-PBE | relaxed
# energy above the most stable polymorph in this dataset: 116 kJ/mol of formula units
# E_form: 8.451 kcal/mol of atoms
data_Pm2PaCu
_cell_length_a 11.295
_cell_length_b 11.295
_cell_length_c 11.295
_cell_angle_alpha 16.77
_cell_angle_beta 16.77
_cell_angle_gamma 16.77
_space_group_name_H-M_alt 'P 1'
_space_group_IT_number 1
loop_
_space_group_symop_operation_xyz
'x,y,z'
loop_
_atom_site_label
_atom_site_fract_x
_atom_site_fract_y
_atom_site_fract_z
Pm1 0.098 0.098 0.098
Pm2 0.902 0.902 0.902
Pa1 0.000 0.000 0.000
Cu1 0.500 0.500 0.500

---

No. 8
# TaPAu2 | Alexandria | GGA-PBE | relaxed
# E_form: 1.189 kcal/mol of atoms
data_TaPAu2
_cell_length_a 9.422
_cell_length_b 9.422
_cell_length_c 9.422
_cell_angle_alpha 18.02
_cell_angle_beta 18.02
_cell_angle_gamma 18.02
_space_group_name_H-M_alt 'P 1'
_space_group_IT_number 1
loop_
_space_group_symop_operation_xyz
'x,y,z'
loop_
_atom_site_label
_atom_site_fract_x
_atom_site_fract_y
_atom_site_fract_z
Ta1 0.000 0.000 0.000
P1 0.739 0.739 0.739
Au1 0.250 0.250 0.250
Au2 0.495 0.495 0.495